TiPdRuAu: optimized geometry, PBE.

Cell lengths 4.467, 4.467, 4.467 Å; angles 60.00, 60.00, 60.00 degrees
Sites, in units of the cell vectors:
Ti1 0.000 0.000 0.000
Pd1 0.750 0.750 0.750
Ru1 0.250 0.250 0.250
Au1 0.500 0.500 0.500

Properties
* E_form: -0.1944 eV per atom
* DOS at the Fermi energy: 5.6 states/eV/f.u.
* raw total energy: -26.418 eV per formula unit

---

LiAl2AsN: optimized geometry, PBE.

Cell lengths 4.477, 4.477, 4.164 Å; angles 90.00, 90.00, 90.00 degrees
Sites, in units of the cell vectors:
Li1 0.000 0.000 0.000
Al1 0.000 0.500 0.000
Al2 0.500 0.000 0.000
As1 0.000 0.000 0.500
N1 0.500 0.500 0.500

Properties
* formation energy from raw total energies: 1.323 eV/atom
* DOS at the Fermi energy: 2.0 states/eV/f.u.
* raw total energy: -15.758 eV per formula unit

---

Na2Sr2CaHg5: optimized geometry, PBE.

Cell lengths 11.670, 11.670, 4.247 Å; angles 90.00, 90.00, 90.00 degrees
Sites, in units of the cell vectors:
Na1 0.125 0.375 0.000
Na2 0.375 0.875 0.000
Na3 0.625 0.125 0.000
Na4 0.875 0.625 0.000
Sr1 0.176 0.676 0.000
Sr2 0.324 0.176 0.000
Sr3 0.676 0.824 0.000
Sr4 0.824 0.324 0.000
Ca1 0.000 0.000 0.000
Ca2 0.500 0.500 0.000
Hg1 0.000 0.500 0.500
Hg2 0.053 0.199 0.500
Hg3 0.199 0.947 0.500
Hg4 0.301 0.447 0.500
Hg5 0.447 0.699 0.500
Hg6 0.500 0.000 0.500
Hg7 0.553 0.301 0.500
Hg8 0.699 0.553 0.500
Hg9 0.801 0.053 0.500
Hg10 0.947 0.801 0.500

Properties
* E_form: -0.3406 eV per atom
* DOS at the Fermi energy: 7.4 states/eV/f.u.
* raw total energy: -12.918 eV per formula unit

---

Tb2Nb2Ni15: optimized geometry, PBE.

Cell lengths 6.378, 6.378, 6.378 Å; angles 82.22, 82.22, 82.22 degrees
Sites, in units of the cell vectors:
Tb1 0.151 0.151 0.151
Tb2 0.849 0.849 0.849
Nb1 0.399 0.399 0.399
Nb2 0.601 0.601 0.601
Ni1 0.000 0.500 0.500
Ni2 0.155 0.155 0.658
Ni3 0.155 0.658 0.155
Ni4 0.198 0.500 0.802
Ni5 0.198 0.802 0.500
Ni6 0.342 0.845 0.845
Ni7 0.500 0.000 0.500
Ni8 0.500 0.198 0.802
Ni9 0.500 0.500 0.000
Ni10 0.500 0.802 0.198
Ni11 0.658 0.155 0.155
Ni12 0.802 0.198 0.500
Ni13 0.802 0.500 0.198
Ni14 0.845 0.342 0.845
Ni15 0.845 0.845 0.342

Properties
* E_form: -0.2498 eV per atom
* DOS at the Fermi energy: 29.1 states/eV/f.u.
* raw total energy: -120.867 eV per formula unit

---

MnHgTe2: optimized geometry, PBE.

Cell lengths 3.222, 3.222, 9.740 Å; angles 90.00, 90.00, 90.00 degrees
Sites, in units of the cell vectors:
Mn1 0.000 0.000 0.000
Hg1 0.000 0.000 0.500
Te1 0.500 0.500 0.167
Te2 0.500 0.500 0.833

Properties
* formation energy from raw total energies: 0.114 eV/atom
* DOS at the Fermi energy: 2.4 states/eV/f.u.
* raw total energy: -15.298 eV per formula unit

---

KMgGeSe3: optimized geometry, PBE.

Cell lengths 7.961, 4.492, 9.946 Å; angles 90.00, 100.69, 90.00 degrees
Sites, in units of the cell vectors:
K1 0.169 0.250 0.283
K2 0.831 0.750 0.717
Mg1 0.353 0.750 0.900
Mg2 0.647 0.250 0.100
Ge1 0.272 0.250 0.684
Ge2 0.728 0.750 0.316
Se1 0.129 0.250 0.880
Se2 0.237 0.750 0.577
Se3 0.436 0.750 0.170
Se4 0.564 0.250 0.830
Se5 0.763 0.250 0.423
Se6 0.871 0.750 0.120

Properties
* formation energy from raw total energies: -0.792 eV/atom
* DOS at the Fermi energy: 1.3 states/eV/f.u.
* raw total energy: -22.516 eV per formula unit

---

ScCuS2: optimized geometry, PBE.

Cell lengths 6.765, 6.765, 6.522 Å; angles 102.90, 102.90, 31.90 degrees
Sites, in units of the cell vectors:
Sc1 0.236 0.236 0.247
Sc2 0.764 0.764 0.753
Cu1 0.455 0.455 0.297
Cu2 0.545 0.545 0.703
S1 0.139 0.139 0.857
S2 0.368 0.368 0.621
S3 0.632 0.632 0.379
S4 0.861 0.861 0.143

Properties
* formation energy from raw total energies: -1.266 eV/atom
* raw total energy: -23.747 eV per formula unit

---

HfGeRu3: optimized geometry, PBE.

Cell lengths 4.767, 4.767, 4.767 Å; angles 90.00, 90.00, 90.00 degrees
Sites, in units of the cell vectors:
Hf1 0.000 0.000 0.000
Ge1 0.500 0.500 0.500
Ru1 0.000 0.000 0.500
Ru2 0.000 0.500 0.000
Ru3 0.500 0.000 0.000

Properties
* E_form: 1.5614 eV per atom
* ΔE to the lowest computed polymorph: 1.155 eV/atom
* DOS at the Fermi energy: 7.7 states/eV/f.u.
* raw total energy: -34.591 eV per formula unit

---

CaLa2Al: optimized geometry, PBE.

Cell lengths 5.071, 5.071, 4.882 Å; angles 90.00, 90.00, 90.00 degrees
Sites, in units of the cell vectors:
Ca1 0.000 0.000 0.000
La1 0.000 0.500 0.500
La2 0.500 0.000 0.500
Al1 0.500 0.500 0.000

Properties
* E_form: -0.1044 eV per atom
* DOS at the Fermi energy: 4.8 states/eV/f.u.
* raw total energy: -16.017 eV per formula unit

---

BaCr2Ag: optimized geometry, PBE.

Cell lengths 6.433, 6.433, 6.433 Å; angles 43.90, 43.90, 43.90 degrees
Sites, in units of the cell vectors:
Ba1 0.000 0.000 0.000
Cr1 0.192 0.192 0.192
Cr2 0.496 0.496 0.496
Ag1 0.809 0.809 0.809

Properties
* E_form: 0.6732 eV per atom
* ΔE to the lowest computed polymorph: 0.159 eV/atom
* DOS at the Fermi energy: 3.7 states/eV/f.u.
* raw total energy: -21.328 eV per formula unit

---

PPbSe2: optimized geometry, PBE.

Cell lengths 5.036, 5.036, 5.036 Å; angles 110.56, 110.56, 107.31 degrees
Sites, in units of the cell vectors:
P1 0.000 0.000 0.000
Pb1 0.500 0.500 0.000
Se1 0.000 0.500 0.500
Se2 0.500 0.000 0.500

Properties
* formation energy from raw total energies: 0.145 eV/atom
* ΔE to the lowest computed polymorph: 0.274 eV/atom
* DOS at the Fermi energy: 1.8 states/eV/f.u.
* raw total energy: -15.506 eV per formula unit

---

Ag2SbRu: optimized geometry, PBE.

Cell lengths 3.915, 3.981, 4.565 Å; angles 90.00, 90.00, 90.00 degrees
Sites, in units of the cell vectors:
Ag1 0.000 0.000 0.000
Ag2 0.500 0.500 0.000
Sb1 0.000 0.500 0.500
Ru1 0.500 0.000 0.500

Properties
* formation energy from raw total energies: 0.263 eV/atom
* DOS at the Fermi energy: 2.5 states/eV/f.u.
* raw total energy: -18.048 eV per formula unit